(1)
Compound: SrNiSe
Source: Alexandria via LeMat-Bulk
Functional: PBE
Structure: relaxed

Cell lengths 4.3318, 5.7976, 6.2136 Å; angles 86.57, 83.54, 69.38 degrees
Fractional coordinates of all 6 atoms:
Sr1 0.0000 0.0000 0.0000
Sr2 0.2217 0.4314 0.4588
Ni1 0.4901 0.8593 0.3787
Ni2 0.6636 0.7675 0.7460
Se1 0.6844 0.5760 0.0783
Se2 0.9042 0.0039 0.5040

Results
DOS at the Fermi energy, states/eV/atom: 0.002
Raw formation energy, eV/atom: -0.86



(2)
Compound: SrNiSe
Source: Alexandria via LeMat-Bulk
Functional: PBE
Structure: relaxed

Cell lengths 4.3109, 4.3109, 8.9489 Å; angles 92.38, 92.38, 57.02 degrees
Fractional coordinates of all 6 atoms:
Sr1 0.0000 0.0000 0.0000
Sr2 0.6781 0.6781 0.4222
Ni1 0.0200 0.0200 0.6643
Ni2 0.3447 0.3447 0.6962
Se1 0.3376 0.3376 0.2038
Se2 0.6638 0.6638 0.7644

Results
DOS at the Fermi energy, states/eV/atom: 0.504
Raw formation energy, eV/atom: -0.94



(3)
Compound: Sr3Ni5Se12
Source: Alexandria via LeMat-Bulk
Functional: PBE
Structure: relaxed

Cell lengths 13.4851, 13.4851, 13.4851 Å; angles 109.47, 109.47, 109.47 degrees
Fractional coordinates of all 80 atoms:
Sr1 0.1250 0.2500 0.3750
Sr2 0.1250 0.3750 0.7500
Sr3 0.2500 0.3750 0.1250
Sr4 0.2500 0.8750 0.6250
Sr5 0.3750 0.1250 0.2500
Sr6 0.3750 0.7500 0.1250
Sr7 0.6250 0.2500 0.8750
Sr8 0.6250 0.8750 0.7500
Sr9 0.7500 0.1250 0.3750
Sr10 0.7500 0.6250 0.8750
Sr11 0.8750 0.6250 0.2500
Sr12 0.8750 0.7500 0.6250
Ni1 0.0000 0.0000 0.0000
Ni2 0.0000 0.0000 0.5000
Ni3 0.0000 0.5000 0.0000
Ni4 0.0000 0.5000 0.5000
Ni5 0.1250 0.7500 0.8750
Ni6 0.1250 0.8750 0.2500
Ni7 0.2500 0.1250 0.8750
Ni8 0.2500 0.6250 0.3750
Ni9 0.3750 0.2500 0.6250
Ni10 0.3750 0.6250 0.7500
Ni11 0.5000 0.0000 0.0000
Ni12 0.5000 0.0000 0.5000
Ni13 0.5000 0.5000 0.0000
Ni14 0.5000 0.5000 0.5000
Ni15 0.6250 0.3750 0.2500
Ni16 0.6250 0.7500 0.3750
Ni17 0.7500 0.3750 0.6250
Ni18 0.7500 0.8750 0.1250
Ni19 0.8750 0.1250 0.7500
Ni20 0.8750 0.2500 0.1250
Se1 0.0146 0.1947 0.1046
Se2 0.0146 0.3200 0.9101
Se3 0.0899 0.6046 0.4099
Se4 0.0901 0.6947 0.6800
Se5 0.0901 0.8954 0.4101
Se6 0.0899 0.9854 0.6800
Se7 0.1046 0.0146 0.1947
Se8 0.1046 0.5899 0.9099
Se9 0.1800 0.1947 0.5901
Se10 0.1800 0.4854 0.5899
Se11 0.1947 0.1046 0.0146
Se12 0.1947 0.5901 0.1800
Se13 0.3053 0.3200 0.9099
Se14 0.3053 0.4854 0.3954
Se15 0.3200 0.9101 0.0146
Se16 0.3200 0.9099 0.3053
Se17 0.3954 0.3053 0.4854
Se18 0.3954 0.5901 0.9101
Se19 0.4099 0.0899 0.6046
Se20 0.4101 0.0901 0.8954
Se21 0.4101 0.8200 0.5146
Se22 0.4099 0.8200 0.8053
Se23 0.4854 0.3954 0.3053
Se24 0.4854 0.5899 0.1800
Se25 0.5146 0.4101 0.8200
Se26 0.5146 0.6046 0.6947
Se27 0.5901 0.1800 0.1947
Se28 0.5899 0.1800 0.4854
Se29 0.5899 0.9099 0.1046
Se30 0.5901 0.9101 0.3954
Se31 0.6046 0.4099 0.0899
Se32 0.6046 0.6947 0.5146
Se33 0.6800 0.0901 0.6947
Se34 0.6800 0.0899 0.9854
Se35 0.6947 0.5146 0.6046
Se36 0.6947 0.6800 0.0901
Se37 0.8053 0.4099 0.8200
Se38 0.8053 0.8954 0.9854
Se39 0.8200 0.5146 0.4101
Se40 0.8200 0.8053 0.4099
Se41 0.8954 0.4101 0.0901
Se42 0.8954 0.9854 0.8053
Se43 0.9101 0.0146 0.3200
Se44 0.9099 0.1046 0.5899
Se45 0.9099 0.3053 0.3200
Se46 0.9101 0.3954 0.5901
Se47 0.9854 0.6800 0.0899
Se48 0.9854 0.8053 0.8954

Results
DOS at the Fermi energy, states/eV/atom: 0.982
Raw formation energy, eV/atom: -0.57



(4)
Compound: Sr3NiSe
Source: Alexandria via LeMat-Bulk
Functional: PBE
Structure: relaxed

Cell lengths 5.6081, 5.6081, 5.6081 Å; angles 90.00, 90.00, 90.00 degrees
Fractional coordinates of all 5 atoms:
Sr1 0.0000 0.0000 0.5000
Sr2 0.0000 0.5000 0.0000
Sr3 0.5000 0.0000 0.0000
Ni1 0.0000 0.0000 0.0000
Se1 0.5000 0.5000 0.5000

Results
DOS at the Fermi energy, states/eV/atom: 1.170
Energy above the lowest structure with this stoichiometry, eV per atom: 0.000
Raw formation energy, eV/atom: -0.36



(5)
Compound: SrNiSe
Source: Alexandria via LeMat-Bulk
Functional: PBE
Structure: relaxed

Cell lengths 6.3652, 5.6233, 4.2743 Å; angles 78.75, 60.05, 41.19 degrees
Fractional coordinates of all 3 atoms:
Sr1 0.0000 0.0000 0.0000
Ni1 0.7171 0.7171 0.2829
Se1 0.2878 0.2878 0.7122

Results
DOS at the Fermi energy, states/eV/atom: 0.887
Raw formation energy, eV/atom: -0.45



(6)
Compound: SrNiSe
Source: Alexandria via LeMat-Bulk
Functional: PBE
Structure: relaxed

Cell lengths 6.1652, 6.1652, 6.1652 Å; angles 141.12, 98.44, 94.29 degrees
Fractional coordinates of all 6 atoms:
Sr1 0.2385 0.2385 0.0000
Sr2 0.7615 0.7615 0.0000
Ni1 0.3485 0.0000 0.3485
Ni2 0.6515 0.0000 0.6515
Se1 0.2185 0.5000 0.7185
Se2 0.7815 0.5000 0.2815

Results
DOS at the Fermi energy, states/eV/atom: 0.478
Raw formation energy, eV/atom: -0.91



(7)
Compound: SrNiSe
Source: Alexandria via LeMat-Bulk
Functional: PBE
Structure: relaxed

Cell lengths 8.6586, 8.2605, 4.5052 Å; angles 90.00, 90.00, 90.00 degrees
Fractional coordinates of all 12 atoms:
Sr1 0.2494 0.2500 0.2482
Sr2 0.2506 0.7500 0.7482
Sr3 0.7494 0.2500 0.2518
Sr4 0.7506 0.7500 0.7518
Ni1 0.0001 0.2500 0.7083
Ni2 0.9999 0.7500 0.2917
Ni3 0.5001 0.2500 0.7917
Ni4 0.4999 0.7500 0.2083
Se1 0.0000 0.0000 0.5000
Se2 0.0000 0.5000 0.5000
Se3 0.5000 0.0000 0.0000
Se4 0.5000 0.5000 0.0000

Results
DOS at the Fermi energy, states/eV/atom: 0.516
Raw formation energy, eV/atom: -0.63



(8)
Compound: SrNiSe
Source: Alexandria via LeMat-Bulk
Functional: PBE
Structure: relaxed

Cell lengths 4.1882, 8.3960, 8.3960 Å; angles 30.49, 90.00, 90.00 degrees
Fractional coordinates of all 6 atoms:
Sr1 0.0000 0.0000 0.0000
Sr2 0.0000 0.2690 0.2690
Ni1 0.0000 0.6405 0.6405
Ni2 0.5000 0.5599 0.5599
Se1 0.5000 0.4181 0.4181
Se2 0.5000 0.7018 0.7018

Results
DOS at the Fermi energy, states/eV/atom: 0.507
Raw formation energy, eV/atom: -0.92



(9)
Compound: SrNiSe
Source: Alexandria via LeMat-Bulk
Functional: PBE
Structure: relaxed

Cell lengths 6.0265, 6.0265, 6.0265 Å; angles 131.32, 88.57, 111.39 degrees
Fractional coordinates of all 6 atoms:
Sr1 0.2504 0.0000 0.2504
Sr2 0.7496 0.0000 0.7496
Ni1 0.2491 0.4992 0.2501
Ni2 0.2491 0.9989 0.7499
Se1 0.5363 0.5363 0.0000
Se2 0.9616 0.4616 0.5000

Results
DOS at the Fermi energy, states/eV/atom: 0.105
Raw formation energy, eV/atom: -0.94



(10)
Compound: SrNiSe
Source: Alexandria via LeMat-Bulk
Functional: PBE
Structure: relaxed

Cell lengths 5.7830, 5.7830, 5.7830 Å; angles 143.97, 143.97, 51.87 degrees
Fractional coordinates of all 3 atoms:
Sr1 0.0000 0.0000 0.0000
Ni1 0.7208 0.7208 0.0000
Se1 0.2853 0.2853 0.0000

Results
DOS at the Fermi energy, states/eV/atom: 1.161
Raw formation energy, eV/atom: -0.38



(11)
Compound: SrNiSe
Source: Alexandria via LeMat-Bulk
Functional: PBE
Structure: relaxed

Cell lengths 5.7787, 5.7787, 6.5878 Å; angles 103.09, 103.09, 40.27 degrees
Fractional coordinates of all 6 atoms:
Sr1 0.0000 0.0000 0.0000
Sr2 0.6540 0.6540 0.5348
Ni1 0.3167 0.3167 0.2942
Ni2 0.7326 0.7326 0.0860
Se1 0.2647 0.2647 0.9018
Se2 0.9244 0.9244 0.4529

Results
DOS at the Fermi energy, states/eV/atom: 0.405
Raw formation energy, eV/atom: -0.90



(12)
Compound: SrNiSe3
Source: Alexandria via LeMat-Bulk
Functional: PBE
Structure: relaxed

Cell lengths 5.7299, 5.7299, 5.7299 Å; angles 90.00, 90.00, 90.00 degrees
Fractional coordinates of all 5 atoms:
Sr1 0.0000 0.0000 0.0000
Ni1 0.5000 0.5000 0.5000
Se1 0.0000 0.0000 0.5000
Se2 0.0000 0.5000 0.0000
Se3 0.5000 0.0000 0.0000

Results
DOS at the Fermi energy, states/eV/atom: 4.404
Energy above the lowest structure with this stoichiometry, eV per atom: 1.462
Raw formation energy, eV/atom: 0.77



(13)
Compound: SrNiSe
Source: Alexandria via LeMat-Bulk
Functional: PBE
Structure: relaxed

Cell lengths 5.5037, 4.1351, 6.3515 Å; angles 90.00, 99.77, 90.00 degrees
Fractional coordinates of all 6 atoms:
Sr1 0.1841 0.2500 0.2680
Sr2 0.8159 0.7500 0.7320
Ni1 0.3810 0.7500 0.9313
Ni2 0.6190 0.2500 0.0687
Se1 0.2566 0.2500 0.7666
Se2 0.7434 0.7500 0.2334

Results
DOS at the Fermi energy, states/eV/atom: 0.744
Raw formation energy, eV/atom: -0.86



(14)
Compound: SrNiSe
Source: Alexandria via LeMat-Bulk
Functional: PBE
Structure: relaxed

Cell lengths 4.3141, 4.3549, 8.6728 Å; angles 100.65, 91.31, 112.69 degrees
Fractional coordinates of all 6 atoms:
Sr1 0.0000 0.0000 0.0000
Sr2 0.2127 0.5052 0.5730
Ni1 0.0024 0.8345 0.3166
Ni2 0.5916 0.2472 0.3044
Se1 0.4391 0.6742 0.2446
Se2 0.6121 0.2543 0.7901

Results
DOS at the Fermi energy, states/eV/atom: 0.000
Raw formation energy, eV/atom: -0.95



(15)
Compound: SrNiSe
Source: Alexandria via LeMat-Bulk
Functional: PBE
Structure: relaxed

Cell lengths 4.1622, 4.1622, 4.2981 Å; angles 90.00, 90.00, 120.00 degrees
Fractional coordinates of all 3 atoms:
Sr1 0.0000 0.0000 0.0000
Ni1 0.6667 0.3333 0.5000
Se1 0.3333 0.6667 0.5000

Results
DOS at the Fermi energy, states/eV/atom: 0.414
Raw formation energy, eV/atom: -0.98



(16)
Compound: SrNiSe
Source: Alexandria via LeMat-Bulk
Functional: PBE
Structure: relaxed

Cell lengths 7.2456, 7.2456, 4.8922 Å; angles 90.00, 90.00, 144.49 degrees
Fractional coordinates of all 6 atoms:
Sr1 0.1323 0.8677 0.5000
Sr2 0.8677 0.1323 0.0000
Ni1 0.4999 0.5001 0.2492
Ni2 0.5001 0.4999 0.7492
Se1 0.3592 0.6408 0.4998
Se2 0.6408 0.3592 0.9998

Results
DOS at the Fermi energy, states/eV/atom: 0.116
Raw formation energy, eV/atom: -0.99



(17)
Compound: SrNi3Se
Source: Alexandria via LeMat-Bulk
Functional: PBE
Structure: relaxed

Cell lengths 4.7656, 4.7656, 4.7656 Å; angles 90.00, 90.00, 90.00 degrees
Fractional coordinates of all 5 atoms:
Sr1 0.0000 0.0000 0.0000
Ni1 0.0000 0.0000 0.5000
Ni2 0.0000 0.5000 0.0000
Ni3 0.5000 0.0000 0.0000
Se1 0.5000 0.5000 0.5000

Results
DOS at the Fermi energy, states/eV/atom: 0.910
Energy above the lowest structure with this stoichiometry, eV per atom: 1.749
Raw formation energy, eV/atom: 1.68



(18)
Compound: SrNiSe
Source: Alexandria via LeMat-Bulk
Functional: PBE
Structure: relaxed

Cell lengths 5.1914, 5.1914, 8.7609 Å; angles 90.00, 90.00, 120.00 degrees
Fractional coordinates of all 6 atoms:
Sr1 0.3333 0.6667 0.2500
Sr2 0.6667 0.3333 0.7500
Ni1 0.0000 0.0000 0.0000
Ni2 0.0000 0.0000 0.5000
Se1 0.0000 0.0000 0.2500
Se2 0.0000 0.0000 0.7500

Results
DOS at the Fermi energy, states/eV/atom: 0.137
Raw formation energy, eV/atom: -0.62



(19)
Compound: SrNiSe
Source: Alexandria via LeMat-Bulk
Functional: PBE
Structure: relaxed

Cell lengths 4.6577, 4.6577, 6.6556 Å; angles 90.00, 90.00, 90.00 degrees
Fractional coordinates of all 6 atoms:
Sr1 0.2500 0.2500 0.1764
Sr2 0.7500 0.7500 0.8236
Ni1 0.2500 0.2500 0.6354
Ni2 0.7500 0.7500 0.3646
Se1 0.2500 0.7500 0.5000
Se2 0.7500 0.2500 0.5000

Results
DOS at the Fermi energy, states/eV/atom: 0.663
Raw formation energy, eV/atom: -0.51



(20)
Compound: SrNi3Se
Source: Alexandria via LeMat-Bulk
Functional: PBE
Structure: relaxed

Cell lengths 4.5123, 4.5123, 4.5123 Å; angles 90.00, 90.00, 90.00 degrees
Fractional coordinates of all 5 atoms:
Sr1 0.0000 0.0000 0.0000
Ni1 0.0000 0.5000 0.5000
Ni2 0.5000 0.0000 0.5000
Ni3 0.5000 0.5000 0.0000
Se1 0.5000 0.5000 0.5000

Results
DOS at the Fermi energy, states/eV/atom: 0.456
Energy above the lowest structure with this stoichiometry, eV per atom: 0.000
Raw formation energy, eV/atom: -0.07



(21)
Compound: SrNiSe
Source: Alexandria via LeMat-Bulk
Functional: PBE
Structure: relaxed

Cell lengths 5.0045, 5.0045, 7.9222 Å; angles 103.38, 103.38, 52.07 degrees
Fractional coordinates of all 6 atoms:
Sr1 0.0000 0.0000 0.0000
Sr2 0.2193 0.2193 0.5535
Ni1 0.5021 0.5021 0.4751
Ni2 0.8838 0.8838 0.3232
Se1 0.3500 0.3500 0.2018
Se2 0.6158 0.6158 0.7771

Results
DOS at the Fermi energy, states/eV/atom: 0.002
Raw formation energy, eV/atom: -0.88



(22)
Compound: SrUNiSe3
Source: Alexandria via LeMat-Bulk
Functional: PBE
Structure: relaxed

Cell lengths 7.1114, 7.1114, 10.5027 Å; angles 90.00, 90.00, 147.10 degrees
Fractional coordinates of all 12 atoms:
Sr1 0.2470 0.7530 0.7500
Sr2 0.7530 0.2470 0.2500
U1 0.5000 0.5000 0.0000
U2 0.5000 0.5000 0.5000
Ni1 0.0267 0.9733 0.2500
Ni2 0.9733 0.0267 0.7500
Se1 0.1391 0.8609 0.0713
Se2 0.1391 0.8609 0.4287
Se3 0.4265 0.5735 0.2500
Se4 0.5735 0.4265 0.7500
Se5 0.8609 0.1391 0.5713
Se6 0.8609 0.1391 0.9287

Results
DOS at the Fermi energy, states/eV/atom: 1.045
Raw formation energy, eV/atom: -1.25



(23)
Compound: Sr2UNiSe5
Source: Alexandria via LeMat-Bulk
Functional: PBE
Structure: relaxed

Cell lengths 9.2774, 9.2774, 12.8310 Å; angles 90.00, 90.00, 154.48 degrees
Fractional coordinates of all 18 atoms:
Sr1 0.1100 0.8900 0.5000
Sr2 0.1193 0.8807 0.8559
Sr3 0.8807 0.1193 0.3559
Sr4 0.8900 0.1100 0.0000
U1 0.1939 0.8061 0.1789
U2 0.8061 0.1939 0.6789
Ni1 0.4266 0.5734 0.5825
Ni2 0.5734 0.4266 0.0825
Se1 0.0432 0.9568 0.1669
Se2 0.2998 0.7002 0.5283
Se3 0.3047 0.6953 0.8300
Se4 0.3473 0.6527 0.1767
Se5 0.4967 0.5033 0.4252
Se6 0.5033 0.4967 0.9252
Se7 0.6527 0.3473 0.6767
Se8 0.6953 0.3047 0.3300
Se9 0.7002 0.2998 0.0283
Se10 0.9568 0.0432 0.6669

Results
DOS at the Fermi energy, states/eV/atom: 0.880
Raw formation energy, eV/atom: -1.34